VASP calculation (PBE) on a relaxed structure of Y2CoNiN.

Values from the calculation:
DOS at the Fermi energy	0.541	states/eV/atom
energy	-7.52	eV per atom
energy relative to the elements, uncorrected	-0.693	eV per atom
size of the total moment	0.00	μB per cell
crystal system	tetragonal

a = 4.8494 Å, b = 4.8494 Å, c = 3.5530 Å
α = 90.00°, β = 90.00°, γ = 90.00°
Fractional positions:
Y1 0.0000 0.5000 0.0000
Y2 0.5000 0.0000 0.0000
Ni1 0.5000 0.5000 0.5000
Co1 0.0000 0.0000 0.5000
N1 0.0000 0.0000 0.0000